<w>
# Sr2CuRe

A relaxed structure of Sr2CuRe (PBE, the Alexandria database).

Lattice parameters (Å, degrees): 8.245 8.245 6.583 51.23 51.23 90.00
Last column: magnetic moment on the atom in μB.
Sites, in units of the cell vectors:
Sr: 0.145 0.625 0.250  -0.03
Sr: 0.375 0.395 0.750  -0.03
Sr: 0.605 0.125 0.250  -0.03
Sr: 0.875 0.855 0.750  -0.03
Cu: 0.500 0.500 0.000  0.03
Cu: 0.250 0.750 0.500  0.03
Re: 0.750 0.250 0.500  1.76
Re: 0.000 0.000 0.000  1.75

Results
M_tot, μB/f.u.: 1.95
D(E_F), states/eV/f.u.: 5.0
Crystal system: tetragonal

<x>
# Sr2CuRe

A relaxed structure of Sr2CuRe (PBE, the Alexandria database).

Lattice parameters (Å, degrees): 4.337 4.620 6.041 67.70 90.00 90.00
Last column: magnetic moment on the atom in μB.
Sites, in units of the cell vectors:
Cu: 0.000 0.671 0.530  0.08
Sr: 0.500 0.270 0.335  -0.01
Sr: 0.000 0.981 0.915  0.01
Re: 0.500 0.578 0.720  0.99

Results
M_tot, μB/f.u.: 1.19
D(E_F), states/eV/f.u.: 3.3
Crystal system: monoclinic

<y>
# Sr2CuRe

A relaxed structure of Sr2CuRe (PBE, the Alexandria database).

Lattice parameters (Å, degrees): 6.397 6.397 6.397 145.93 133.03 59.28
Last column: magnetic moment on the atom in μB.
Sites, in units of the cell vectors:
Sr: 0.730 0.230 0.500  0.01
Sr: 0.015 0.015 0.000  -0.01
Cu: 0.448 0.448 0.000  0.13
Re: 0.308 0.808 0.500  1.25

Results
M_tot, μB/f.u.: 1.61
D(E_F), states/eV/f.u.: 3.6
Crystal system: orthorhombic

<z>
# Sr2CuRe

A relaxed structure of Sr2CuRe (PBE, the Alexandria database).

Lattice parameters (Å, degrees): 6.101 6.101 5.606 71.67 71.67 30.09
Sites, in units of the cell vectors:
Sr: 0.778 0.778 0.688
Sr: 0.972 0.972 0.063
Re: 0.204 0.204 0.241
Cu: 0.546 0.546 0.507

Results
M_tot, μB/f.u.: 0.00
D(E_F), states/eV/f.u.: 3.5
Crystal system: monoclinic

Consider the structures shown above. The least stable of them is <w>.